Entry 1:
{
  "formula": "Mn2Pt",
  "functional": "GGA-PBE",
  "state": "optimized geometry",
  "cell": [[5.033, -1.476, 0.000], [5.033, 1.476, 0.000], [-2.071, 0.000, 5.833]],
  "species": ["Mn", "Mn", "Mn", "Mn", "Pt", "Pt"],
  "fractional_positions": [[0.023, 0.023, 0.287], [0.333, 0.333, 0.382], [0.667, 0.667, 0.618], [0.977, 0.977, 0.713], [0.352, 0.352, 0.936], [0.648, 0.648, 0.064]],
  "e_form_ev_per_atom": -0.129,
  "crystal_system": "monoclinic",
  "mass_density_kg_m3": 11686,
  "total_energy_ry_per_atom": -0.607
}


Entry 2:
{
  "formula": "EuHo2Be",
  "functional": "GGA-PBE",
  "state": "optimized geometry",
  "cell": [[3.482, 0.000, 0.000], [0.000, 3.482, 0.000], [0.000, 0.000, 8.955]],
  "species": ["Eu", "Ho", "Ho", "Be"],
  "fractional_positions": [[0.000, 0.000, 0.000], [0.500, 0.500, 0.321], [0.500, 0.500, 0.679], [0.000, 0.000, 0.500]],
  "e_form_ev_per_atom": 0.104,
  "crystal_system": "tetragonal",
  "mass_density_kg_m3": 7506,
  "total_energy_ry_per_atom": -0.418
}


Entry 3:
{
  "formula": "SmPuRh",
  "functional": "GGA-PBE",
  "state": "optimized geometry",
  "cell": [[-4.810, 6.269, 3.616], [4.810, -6.269, 3.616], [4.810, 6.269, -3.616]],
  "species": ["Sm", "Sm", "Sm", "Sm", "Sm", "Sm", "Pu", "Pu", "Pu", "Pu", "Pu", "Pu", "Rh", "Rh", "Rh", "Rh", "Rh", "Rh"],
  "fractional_positions": [[0.000, 0.250, 0.250], [0.000, 0.750, 0.750], [0.416, 0.373, 0.542], [0.416, 0.874, 0.042], [0.831, 0.374, 0.958], [0.831, 0.873, 0.458], [0.165, 0.290, 0.875], [0.165, 0.791, 0.375], [0.415, 0.291, 0.125], [0.415, 0.790, 0.625], [0.666, 0.166, 0.500], [0.666, 0.666, 0.000], [0.082, 0.416, 0.667], [0.082, 0.916, 0.167], [0.416, 0.666, 0.249], [0.417, 0.166, 0.751], [0.749, 0.416, 0.333], [0.749, 0.916, 0.833]],
  "e_form_ev_per_atom": -0.448,
  "crystal_system": "orthorhombic",
  "polymorph_energy_mev_per_atom": 0,
  "mass_density_kg_m3": 11359,
  "total_energy_ry_per_atom": -0.680
}


Please write out number 1 again, unchanged.
{
  "formula": "Mn2Pt",
  "functional": "GGA-PBE",
  "state": "optimized geometry",
  "cell": [[5.033, -1.476, 0.000], [5.033, 1.476, 0.000], [-2.071, 0.000, 5.833]],
  "species": ["Mn", "Mn", "Mn", "Mn", "Pt", "Pt"],
  "fractional_positions": [[0.023, 0.023, 0.287], [0.333, 0.333, 0.382], [0.667, 0.667, 0.618], [0.977, 0.977, 0.713], [0.352, 0.352, 0.936], [0.648, 0.648, 0.064]],
  "e_form_ev_per_atom": -0.129,
  "crystal_system": "monoclinic",
  "mass_density_kg_m3": 11686,
  "total_energy_ry_per_atom": -0.607
}